First-principles (PBE-GGA) data for crystalline Zr4Cd5 at its relaxed geometry, as listed in the Alexandria database.

Properties
- energy above the lowest structure with this stoichiometry (eV/atom) = 0.022
- symmetry = No. 71
- D(E_F) (states/eV per cell) = 7.02

Cell lengths 3.205, 8.087, 8.087 Å; angles 97.79, 78.57, 78.57 degrees
Element x y z (fractional)
1 Zr 0.334 0.662 0.670
2 Zr 0.334 0.003 0.329
3 Zr 0.666 0.671 0.997
4 Zr 0.666 0.330 0.338
5 Cd 0.000 0.006 0.994
6 Cd 0.000 0.327 0.673
7 Cd 0.000 0.667 0.333
8 Cd 0.331 0.336 0.002
9 Cd 0.669 0.998 0.664

First-principles (PBE-GGA) data for crystalline AlFe3 at its relaxed geometry, as listed in the Alexandria database.

Properties
- symmetry = No. 10
- D(E_F) (states/eV per cell) = 2.72

Cell lengths 3.980, 2.536, 4.870 Å; angles 78.44, 90.00, 90.00 degrees
Element x y z (fractional)
1 Fe 0.500 0.725 0.745
2 Fe 0.000 0.500 0.500
3 Fe 0.500 0.275 0.255
4 Al 0.000 0.000 0.000

First-principles (PBE-GGA) data for crystalline KScTl3 at its relaxed geometry, as listed in the Alexandria database.

Properties
- energy above the lowest structure with this stoichiometry (eV/atom) = 0.772
- symmetry = No. 221
- D(E_F) (states/eV per cell) = 9.33

Cell lengths 5.798, 5.798, 5.798 Å; angles 90.00, 90.00, 90.00 degrees
Element x y z (fractional)
1 Sc 0.500 0.500 0.500
2 Tl 0.000 0.500 0.000
3 Tl 0.000 0.000 0.500
4 Tl 0.500 0.000 0.000
5 K 0.000 0.000 0.000

How do the records compare in calculated formation energy? In the order shown, they have -82 -146 875 meV/atom.